Entry 1:
Here is crystalline CsPtPb3 at its relaxed geometry from Alexandria via LeMat-Bulk. Energies are from PBE.

Unit cell a=4.770 b=9.708 c=13.664 alpha=90.00 beta=90.00 gamma=90.00
Positions (direct):
Cs  0.750  0.832  0.005
Cs  0.250  0.668  0.505
Cs  0.750  0.332  0.495
Cs  0.250  0.168  0.995
Pt  0.250  0.070  0.643
Pt  0.250  0.570  0.857
Pt  0.750  0.430  0.143
Pt  0.750  0.930  0.357
Pb  0.250  0.569  0.078
Pb  0.750  0.431  0.922
Pb  0.250  0.069  0.422
Pb  0.750  0.931  0.578
Pb  0.250  0.362  0.709
Pb  0.750  0.138  0.209
Pb  0.250  0.862  0.791
Pb  0.750  0.629  0.727
Pb  0.250  0.371  0.273
Pb  0.750  0.129  0.773
Pb  0.750  0.638  0.291
Pb  0.250  0.871  0.227


Entry 2:
Here is crystalline Cs3Pt2Pb4 at its relaxed geometry from Alexandria via LeMat-Bulk. Energies are from PBE.

Unit cell a=7.251 b=10.622 c=10.622 alpha=65.11 beta=76.40 gamma=76.40
Positions (direct):
Cs  0.872  0.005  0.227
Cs  0.628  0.773  0.995
Cs  0.128  0.995  0.773
Cs  0.372  0.227  0.005
Cs  0.250  0.433  0.567
Cs  0.750  0.567  0.433
Pt  0.419  0.134  0.413
Pt  0.081  0.587  0.866
Pt  0.581  0.866  0.587
Pt  0.919  0.413  0.134
Pb  0.339  0.893  0.404
Pb  0.161  0.596  0.107
Pb  0.661  0.107  0.596
Pb  0.839  0.404  0.893
Pb  0.039  0.226  0.382
Pb  0.461  0.618  0.774
Pb  0.961  0.774  0.618
Pb  0.539  0.382  0.226


no.,ΔE to the lowest computed polymorph (eV/atom),volume (A^3/atom)
1,0.081,31.6
2,0.000,39.6